NaMg6V: relaxed, PBE.

Cell lengths 5.188, 6.462, 10.825 Å; angles 90.00, 90.00, 90.00 degrees
Space group Amm2 (No. 38)
One atom of each set of equivalent atoms:
1 Na 0.000 0.000 0.000 x2
2 Mg 0.000 0.000 0.499 x2
3 Mg 0.000 0.239 0.755 x4
4 Mg 0.500 0.000 0.318 x2
5 Mg 0.500 0.249 0.569 x4
6 V 0.500 0.000 0.808 x2

Calculated values
energy of formation = 1.9 eV/f.u.

=====

ScUFe: relaxed, PBE.

Cell lengths 3.279, 3.279, 10.179 Å; angles 90.00, 90.00, 90.00 degrees
Space group I4mm (No. 107)
One atom of each set of equivalent atoms:
1 Sc 0.000 0.000 0.000 x2
2 U 0.000 0.000 0.703 x2
3 Fe 0.000 0.000 0.298 x2

Calculated values
energy of formation = 0.0 eV/f.u.

=====

PrTcGe2: relaxed, PBE.

Cell lengths 7.352, 4.291, 10.459 Å; angles 90.00, 90.00, 90.00 degrees
Space group Pnma (No. 62)
One atom of each set of equivalent atoms:
1 Pr 0.158 0.250 0.129 x4
2 Tc 0.021 0.750 0.393 x4
3 Ge 0.143 0.250 0.811 x4
4 Ge 0.197 0.250 0.430 x4

Calculated values
energy of formation = -2.1 eV/f.u.

=====

Ho3RhAu2: relaxed, PBE.

Cell lengths 3.530, 3.530, 10.561 Å; angles 90.00, 90.00, 90.00 degrees
Space group P4/mmm (No. 123)
One atom of each set of equivalent atoms:
1 Ho 0.000 0.000 0.000 x1
2 Ho 0.000 0.000 0.344 x2
3 Rh 0.500 0.500 0.500 x1
4 Au 0.500 0.500 0.172 x2

Calculated values
energy of formation = -5.3 eV/f.u.

=====

ThZr2Ni9: relaxed, PBE.

Cell lengths 4.9237, 4.9237, 24.0661 Å; angles 90.00, 90.00, 120.00 degrees
Space group R-3m (No. 166, hexagonal axes)
One atom of each set of equivalent atoms:
1 Th 0.0000 0.0000 0.0000 x3
2 Zr 0.0000 0.0000 0.1405 x6
3 Ni 0.0000 0.0000 0.3337 x6
4 Ni 0.0000 0.0000 0.5000 x3
5 Ni 0.0043 0.5022 0.9140 x18

Calculated values
energy of formation = -5.4 eV/f.u.

=====

CuAs2W: relaxed, PBE.

Cell lengths 4.195, 4.195, 7.051 Å; angles 90.00, 90.00, 90.00 degrees
Space group I4/mmm (No. 139)
One atom of each set of equivalent atoms:
1 Cu 0.000 0.000 0.000 x2
2 As 0.000 0.500 0.250 x4
3 W 0.000 0.000 0.500 x2

Calculated values
energy of formation = 1.7 eV/f.u.

=====

LaHfInBi2: relaxed, PBE.

Cell lengths 5.661, 5.661, 5.831 Å; angles 90.00, 90.00, 90.00 degrees
Space group P4/mmm (No. 123)
One atom of each set of equivalent atoms:
1 La 0.000 0.000 0.000 x1
2 Hf 0.500 0.500 0.000 x1
3 In 0.000 0.000 0.500 x1
4 Bi 0.000 0.500 0.500 x2

Calculated values
energy of formation = 4.4 eV/f.u.

=====

Li4H3Pd5: relaxed, PBE.

Cell lengths 13.483, 3.298, 7.979 Å; angles 90.00, 121.20, 90.00 degrees
Space group C2/m (No. 12)
One atom of each set of equivalent atoms:
1 Li 0.103 0.000 0.392 x4
2 Li 0.158 0.000 0.925 x4
3 H 0.000 0.500 0.000 x2
4 H 0.248 0.500 0.684 x4
5 Pd 0.000 0.000 0.000 x2
6 Pd 0.108 0.500 0.651 x4
7 Pd 0.193 0.500 0.214 x4

Calculated values
electronic total energy = -3.90 eV per atom

=====

Ca2LaSe: relaxed, PBE.

Cell lengths 4.722, 5.651, 9.856 Å; angles 90.00, 90.00, 90.00 degrees
Space group Cmmm (No. 65)
One atom of each set of equivalent atoms:
1 Ca 0.000 0.000 0.181 x4
2 La 0.000 0.500 0.500 x2
3 Se 0.000 0.500 0.000 x2

Calculated values
ΔE_f (raw) = -0.776 eV/atom

=====

ZnAgCl3: relaxed, PBE.

Cell lengths 5.037, 5.037, 5.037 Å; angles 90.00, 90.00, 90.00 degrees
Space group Pm-3m (No. 221)
One atom of each set of equivalent atoms:
1 Zn 0.000 0.000 0.000 x1
2 Ag 0.500 0.500 0.500 x1
3 Cl 0.000 0.500 0.500 x3

Calculated values
ΔE_f (raw) = -0.102 eV/atom